Model one:
The following is a GGA-PBE calculation of a relaxed structure of GdHfSn2, from the Alexandria database.

N(E_F) = 3.40 states/eV/cell

Cell: 4.709 4.709 4.383 Å, 90.00 90.00 90.00°
Space group P4/mmm (No. 123)
Symmetry-distinct sites (fractional):
Gd (0.000, 0.000, 0.000) x1
Hf (0.500, 0.500, 0.000) x1
Sn (0.000, 0.500, 0.500) x2


Model two:
The following is a GGA-PBE calculation of a relaxed structure of GdHfSn2, from the Alexandria database.

N(E_F) = 3.26 states/eV/cell

Cell: 3.870 3.870 6.610 Å, 90.00 90.00 90.00°
Space group P4/mmm (No. 123)
Symmetry-distinct sites (fractional):
Gd (0.000, 0.000, 0.000) x1
Hf (0.000, 0.000, 0.500) x1
Sn (0.500, 0.500, 0.276) x2


Model three:
The following is a GGA-PBE calculation of a relaxed structure of GdHfSn2, from the Alexandria database.

N(E_F) = 8.33 states/eV/cell

Cell: 4.7643 4.7643 15.8755 Å, 90.00 90.00 120.00°
Space group R-3m (No. 166, hexagonal axes)
Symmetry-distinct sites (fractional):
Gd (0.0000, 0.0000, 0.0000) x3
Hf (0.0000, 0.0000, 0.5000) x3
Sn (0.0000, 0.0000, 0.2388) x6


Which is most stable, and by how much? model two, by 0.006 eV/atom.


Model one:
The following is a GGA-PBE calculation of a relaxed structure of TbGdHf, from the Alexandria database.

N(E_F) = 3.89 states/eV/cell

Cell: 3.3926 3.3926 8.4848 Å, 90.00 90.00 120.00°
Space group P3m1 (No. 156)
Symmetry-distinct sites (fractional):
Tb (0.0000, 0.0000, 0.0000) x1
Gd (0.3333, 0.6667, 0.6213) x1
Hf (0.6667, 0.3333, 0.3095) x1


Model two:
The following is a GGA-PBE calculation of a relaxed structure of TbGdHf, from the Alexandria database.

N(E_F) = 8.87 states/eV/cell

Cell: 3.368 3.368 15.011 Å, 90.00 90.00 90.00°
Space group I4mm (No. 107)
Symmetry-distinct sites (fractional):
Tb (0.000, 0.000, 0.000) x2
Gd (0.000, 0.000, 0.692) x2
Hf (0.000, 0.000, 0.348) x2


Which is most stable, and by how much? model two, by 0.016 eV/atom.


Model one:
The following is a GGA-PBE calculation of a relaxed structure of Tb2GdHf, from the Alexandria database.

N(E_F) = 4.65 states/eV/cell

Cell: 4.862 4.862 4.857 Å, 90.00 90.00 90.00°
Space group P4/mmm (No. 123)
Symmetry-distinct sites (fractional):
Tb (0.000, 0.500, 0.000) x2
Gd (0.000, 0.000, 0.500) x1
Hf (0.500, 0.500, 0.500) x1


Model two:
The following is a GGA-PBE calculation of a relaxed structure of Tb2GdHf, from the Alexandria database.

N(E_F) = 7.73 states/eV/cell

Cell: 3.967 3.967 7.464 Å, 90.00 90.00 90.00°
Space group P4/mmm (No. 123)
Symmetry-distinct sites (fractional):
Tb (0.000, 0.000, 0.218) x2
Gd (0.500, 0.500, 0.500) x1
Hf (0.500, 0.500, 0.000) x1


Which is most stable, and by how much? model one, by 0.072 eV/atom.


Model one:
The following is a GGA-PBE calculation of a relaxed structure of Gd2HfTl, from the Alexandria database.

N(E_F) = 3.84 states/eV/cell

Cell: 3.407 3.407 9.434 Å, 90.00 90.00 90.00°
Space group P4/mmm (No. 123)
Symmetry-distinct sites (fractional):
Gd (0.000, 0.000, 0.247) x2
Hf (0.500, 0.500, 0.000) x1
Tl (0.500, 0.500, 0.500) x1


Model two:
The following is a GGA-PBE calculation of a relaxed structure of Gd2HfTl, from the Alexandria database.

N(E_F) = 16.23 states/eV/cell

Cell: 3.3339 3.3339 35.2381 Å, 90.00 90.00 120.00°
Space group R-3m (No. 166, hexagonal axes)
Symmetry-distinct sites (fractional):
Gd (0.0000, 0.0000, 0.0885) x6
Hf (0.0000, 0.0000, 0.0000) x3
Tl (0.0000, 0.0000, 0.5000) x3


Which is most stable, and by how much? model one, by 0.364 eV/atom.


Model one:
The following is a GGA-PBE calculation of a relaxed structure of GdTmHf, from the Alexandria database.

N(E_F) = 3.74 states/eV/cell

Cell: 3.3738 3.3738 8.3953 Å, 90.00 90.00 120.00°
Space group P3m1 (No. 156)
Symmetry-distinct sites (fractional):
Gd (0.0000, 0.0000, 0.0000) x1
Tm (0.6667, 0.3333, 0.3745) x1
Hf (0.3333, 0.6667, 0.6842) x1


Model two:
The following is a GGA-PBE calculation of a relaxed structure of GdTmHf, from the Alexandria database.

N(E_F) = 8.65 states/eV/cell

Cell: 3.348 3.348 14.840 Å, 90.00 90.00 90.00°
Space group I4mm (No. 107)
Symmetry-distinct sites (fractional):
Gd (0.000, 0.000, 0.000) x2
Tm (0.000, 0.000, 0.309) x2
Hf (0.000, 0.000, 0.659) x2


Which is most stable, and by how much? model two, by 0.013 eV/atom.


Model one:
The following is a GGA-PBE calculation of a relaxed structure of GdTmHf2, from the Alexandria database.

N(E_F) = 4.50 states/eV/cell

Cell: 4.650 4.650 4.762 Å, 90.00 90.00 90.00°
Space group P4/mmm (No. 123)
Symmetry-distinct sites (fractional):
Gd (0.000, 0.000, 0.000) x1
Tm (0.500, 0.500, 0.000) x1
Hf (0.000, 0.500, 0.500) x2


Model two:
The following is a GGA-PBE calculation of a relaxed structure of GdTmHf2, from the Alexandria database.

N(E_F) = 17.69 states/eV/cell

Cell: 3.3017 3.3017 32.7114 Å, 90.00 90.00 120.00°
Space group R-3m (No. 166, hexagonal axes)
Symmetry-distinct sites (fractional):
Gd (0.0000, 0.0000, 0.0000) x3
Tm (0.0000, 0.0000, 0.5000) x3
Hf (0.0000, 0.0000, 0.2493) x6


Which is most stable, and by how much? model one, by 0.008 eV/atom.


Model one:
The following is a GGA-PBE calculation of a relaxed structure of Gd2YHf, from the Alexandria database.

N(E_F) = 5.99 states/eV/cell

Cell: 3.427 3.427 9.926 Å, 90.00 90.00 90.00°
Space group P4/mmm (No. 123)
Symmetry-distinct sites (fractional):
Gd (0.000, 0.000, 0.229) x2
Y (0.500, 0.500, 0.500) x1
Hf (0.500, 0.500, 0.000) x1


Model two:
The following is a GGA-PBE calculation of a relaxed structure of Gd2YHf, from the Alexandria database.

N(E_F) = 5.44 states/eV/cell

Cell: 4.875 4.875 4.856 Å, 90.00 90.00 90.00°
Space group P4/mmm (No. 123)
Symmetry-distinct sites (fractional):
Gd (0.000, 0.500, 0.000) x2
Y (0.000, 0.000, 0.500) x1
Hf (0.500, 0.500, 0.500) x1


Which is most stable, and by how much? model one, by 0.038 eV/atom.